# GGA-PBE Tb5Dy4Y3, optimized geometry
# * formation enthalpy at 0 K: 18 meV/atom
# * crystal system: triclinic
# * Fermi-level density of states: 15.80 states/eV per cell
# * total magnetization: 0.00 μB/cell
data_Tb5Dy4Y3
_chemical_formula_sum 'Tb5 Dy4 Y3'
_symmetry_space_group_name_H-M 'P -1'
_symmetry_Int_Tables_number 2
_cell_length_a 6.1611
_cell_length_b 7.1173
_cell_length_c 8.7028
_cell_angle_alpha 90.02
_cell_angle_beta 90.10
_cell_angle_gamma 90.14
loop_
_symmetry_equiv_pos_as_xyz
'x,y,z'
'-x,-y,-z'
loop_
_atom_site_label
_atom_site_type_symbol
_atom_site_fract_x
_atom_site_fract_y
_atom_site_fract_z
_atom_site_occupancy
Tb1 Tb 0.0000 0.0000 0.0000 1
Tb2 Tb 0.3346 0.4997 0.3331 1
Tb3 Tb 0.4991 0.7508 0.9995 1
Dy1 Dy 0.1674 0.7505 0.6660 1
Dy2 Dy 0.3340 0.0004 0.3326 1
Y1 Y 0.0000 0.5000 0.0000 1
Y2 Y 0.1662 0.2497 0.6654 1